No. 1
Compound: Sm6Zn2Cu
Source: Alexandria
Functional: GGA-PBE
Structure: relaxed

Values from the calculation:
Total moment, μB per cell: 0.0
Calculated formation energy, eV per formula unit: 0.5

a b c (Å): 5.002 7.118 8.669
angles (deg): 114.24 106.74 90.00
Positions (direct):
Zn  0.667  0.666  0.333
Zn  0.333  0.334  0.667
Cu  0.000  0.000  0.000
Sm  0.500  0.244  0.000
Sm  0.836  0.083  0.672
Sm  0.164  0.411  0.328
Sm  0.164  0.917  0.328
Sm  0.836  0.589  0.672
Sm  0.500  0.756  0.000

No. 2
Compound: YS4
Source: Alexandria
Functional: GGA-PBE
Structure: relaxed

Values from the calculation:
Total moment, μB per cell: 5.0
Energy above the lowest structure with this stoichiometry, eV/atom: 0.944
Formation energy (no corrections), eV per atom: 0.192

a b c (Å): 5.343 5.343 5.343
angles (deg): 90.00 90.00 90.00
Last column: magnetic moment on the atom in μB.
Positions (direct):
S  0.000  0.000  0.000  1.26
S  0.500  0.000  0.500  0.63
S  0.500  0.500  0.000  0.63
S  0.000  0.500  0.500  0.63
Y  0.500  0.500  0.500  -0.04

No. 3
Compound: TiAl2Pt2
Source: Alexandria
Functional: GGA-PBE
Structure: relaxed

Values from the calculation:
Total moment, μB per cell: 0.0
Calculated formation energy, eV per formula unit: -4.6
Energy above the lowest structure with this stoichiometry, eV/atom: 0.000

a b c (Å): 4.290 4.272 9.216
angles (deg): 89.99 90.00 90.00
Positions (direct):
Pt  0.750  0.750  0.160
Pt  0.750  0.750  0.523
Pt  0.250  0.250  0.477
Pt  0.250  0.250  0.840
Ti  0.750  0.250  0.686
Ti  0.250  0.750  0.314
Al  0.750  0.250  0.322
Al  0.250  0.750  0.678
Al  0.250  0.750  0.994
Al  0.750  0.250  0.006

No. 4
Compound: SiH3S
Source: Alexandria
Functional: GGA-PBE
Structure: relaxed

Values from the calculation:
Total moment, μB per cell: 0.0
Energy above the lowest structure with this stoichiometry, eV/atom: 0.223

a b c (Å): 5.772 7.083 4.367
angles (deg): 90.00 90.00 90.00
Positions (direct):
S  0.811  0.201  0.896
S  0.311  0.701  0.752
H  0.407  0.027  0.246
H  0.907  0.875  0.401
H  0.907  0.527  0.401
H  0.704  0.201  0.546
H  0.204  0.701  0.101
H  0.406  0.375  0.246
Si  0.550  0.201  0.217
Si  0.050  0.701  0.431

What did the third record say?
Compound: TiAl2Pt2
Source: Alexandria
Functional: GGA-PBE
Structure: relaxed

Values from the calculation:
Total moment, μB per cell: 0.0
Calculated formation energy, eV per formula unit: -4.6
Energy above the lowest structure with this stoichiometry, eV/atom: 0.000

a b c (Å): 4.290 4.272 9.216
angles (deg): 89.99 90.00 90.00
Positions (direct):
Pt  0.750  0.750  0.160
Pt  0.750  0.750  0.523
Pt  0.250  0.250  0.477
Pt  0.250  0.250  0.840
Ti  0.750  0.250  0.686
Ti  0.250  0.750  0.314
Al  0.750  0.250  0.322
Al  0.250  0.750  0.678
Al  0.250  0.750  0.994
Al  0.750  0.250  0.006